(1)
Crystalline RbNiI at its relaxed geometry, computed with GGA-PBE.

Unit cell a=11.8655 b=7.6151 c=3.9246 alpha=90.00 beta=90.00 gamma=90.00
Last column: nearest neighbours and their distance in Å.
Fractional coordinates of all 12 atoms:
Rb 0.2319 0.2500 0.0018  3 Ni 3.13-3.42
Rb 0.2681 0.7500 0.5018  3 Ni 3.13-3.42
Rb 0.7319 0.2500 0.4982  3 Ni 3.13-3.42
Rb 0.7681 0.7500 0.9982  3 Ni 3.13-3.42
Ni 0.0322 0.7500 0.0006  4 I 2.76
Ni 0.4678 0.2500 0.5006  4 I 2.76
Ni 0.5322 0.7500 0.4994  4 I 2.76
Ni 0.9678 0.2500 0.9994  4 I 2.76
I 0.0000 0.0000 0.5000  4 Ni 2.76
I 0.0000 0.5000 0.5000  4 Ni 2.76
I 0.5000 0.0000 0.0000  4 Ni 2.76
I 0.5000 0.5000 0.0000  4 Ni 2.76

Calculated values
SG = Pnma, No. 62
electronic total energy = -32.75 eV/cell
total magnetic moment = 0.00 μB/atom
DOS(E_F) = 0.299 states/eV/atom

---

(2)
Crystalline RbNiI at its relaxed geometry, computed with GGA-PBE.

Unit cell a=6.1445 b=4.7441 c=7.4134 alpha=90.00 beta=112.50 gamma=90.00
Last column: nearest neighbours and their distance in Å.
Fractional coordinates of all 6 atoms:
Rb 0.0000 0.0000 0.0000  4 Ni 3.63-3.94, 6 I 3.81-3.95
Rb 0.0000 0.4973 0.5000  2 Ni 3.08
Ni 0.4586 0.4484 0.3305  1 Ni 2.37, 2 I 2.58-2.60
Ni 0.5414 0.4484 0.6695  1 Ni 2.37, 2 I 2.58-2.60
I 0.5000 0.5250 0.0000  2 Ni 2.58
I 0.5000 0.9601 0.5000  4 Ni 2.60-2.70

Calculated values
SG = P2, No. 3
electronic total energy = -17.74 eV/cell
total magnetic moment = 0.00 μB/atom
DOS(E_F) = 0.002 states/eV/atom

---

(3)
Crystalline RbNiI at its relaxed geometry, computed with GGA-PBE.

Unit cell a=4.4678 b=6.8894 c=6.8894 alpha=97.34 beta=90.00 gamma=90.00
Last column: nearest neighbours and their distance in Å.
Fractional coordinates of all 6 atoms:
Rb 0.0000 0.2448 0.7552  3 Ni 3.22-3.49
Rb 0.0000 0.7552 0.2448  3 Ni 3.22-3.49
Ni 0.0000 0.7021 0.7021  2 I 2.47, 2 Ni 2.60
Ni 0.5000 0.5552 0.5552  2 I 2.40-2.44, 2 Ni 2.60
I 0.5000 0.2865 0.2865  1 Ni 2.44
I 0.5000 0.8187 0.8187  3 Ni 2.40-2.47

Calculated values
SG = Amm2, No. 38
electronic total energy = -18.35 eV/cell
total magnetic moment = 0.00 μB/atom
DOS(E_F) = 0.278 states/eV/atom

---

(4)
Crystalline RbNiI at its relaxed geometry, computed with GGA-PBE.

Unit cell a=10.7221 b=4.3203 c=8.9135 alpha=90.00 beta=90.00 gamma=90.00
Last column: nearest neighbours and their distance in Å.
Fractional coordinates of all 12 atoms:
Rb 0.2176 0.2500 0.0577  1 Ni 3.19
Rb 0.2824 0.7500 0.5577  1 Ni 3.19
Rb 0.7176 0.2500 0.4423  1 Ni 3.19
Rb 0.7824 0.7500 0.9423  1 Ni 3.19
Ni 0.0150 0.2500 0.4352  2 Ni 2.47, 3 I 2.57-2.58
Ni 0.4850 0.7500 0.9352  2 Ni 2.47, 3 I 2.57-2.58
Ni 0.5150 0.2500 0.0648  2 Ni 2.47, 3 I 2.57-2.58
Ni 0.9850 0.7500 0.5648  2 Ni 2.47, 3 I 2.57-2.58
I 0.0017 0.7500 0.2774  3 Ni 2.57-2.58
I 0.4983 0.2500 0.7774  3 Ni 2.57-2.58
I 0.5017 0.7500 0.2226  3 Ni 2.57-2.58
I 0.9983 0.2500 0.7226  3 Ni 2.57-2.58

Calculated values
SG = Pnma, No. 62
electronic total energy = -36.44 eV/cell
total magnetic moment = 0.00 μB/atom
DOS(E_F) = 0.206 states/eV/atom

---

(5)
Crystalline Rb3NiI at its relaxed geometry, computed with GGA-PBE.

Unit cell a=6.2681 b=6.2681 c=6.2681 alpha=90.00 beta=90.00 gamma=90.00
Last column: nearest neighbours and their distance in Å.
Fractional coordinates of all 5 atoms:
Rb 0.0000 0.0000 0.5000  2 Ni 3.13
Rb 0.0000 0.5000 0.0000  2 Ni 3.13
Rb 0.5000 0.0000 0.0000  2 Ni 3.13
Ni 0.0000 0.0000 0.0000  6 Rb 3.13
I 0.5000 0.5000 0.5000  12 Rb 4.43

Calculated values
SG = Pm-3m, No. 221
electronic total energy = -10.74 eV/cell
total magnetic moment = 0.00 μB/atom
DOS(E_F) = 0.000 states/eV/atom

---

(6)
Crystalline RbNiI at its relaxed geometry, computed with GGA-PBE.

Unit cell a=6.3407 b=6.3407 c=8.4722 alpha=104.67 beta=104.67 gamma=39.63
Last column: nearest neighbours and their distance in Å.
Fractional coordinates of all 6 atoms:
Rb 0.0000 0.0000 0.0000  4 I 3.73, 2 Ni 3.89
Rb 0.5000 0.5000 0.5000  2 Ni 3.11
Ni 0.2304 0.2304 0.4236  2 Ni 2.49, 3 I 2.57-2.61
Ni 0.7696 0.7696 0.5764  2 Ni 2.49, 3 I 2.57-2.61
I 0.2669 0.2669 0.7410  3 Ni 2.57-2.61
I 0.7331 0.7331 0.2590  3 Ni 2.57-2.61

Calculated values
SG = C2/m, No. 12
electronic total energy = -18.08 eV/cell
total magnetic moment = 0.00 μB/atom
DOS(E_F) = 0.346 states/eV/atom

---

(7)
Crystalline RbNiI4 at its relaxed geometry, computed with GGA-PBE.

Unit cell a=6.5837 b=4.1691 c=8.9695 alpha=90.00 beta=94.14 gamma=90.00
Last column: nearest neighbours and their distance in Å.
Fractional coordinates of all 6 atoms:
Rb 0.0000 0.0000 0.0000  6 I 3.64-3.67
Ni 0.0000 0.5000 0.5000  6 I 2.65-2.77
I 0.2195 0.0000 0.6358  2 Ni 2.77
I 0.2587 0.5000 0.2870  1 Ni 2.65
I 0.7413 0.5000 0.7130  1 Ni 2.65
I 0.7805 0.0000 0.3642  2 Ni 2.77

Calculated values
SG = P2/m, No. 10
electronic total energy = -15.38 eV/cell
total magnetic moment = 0.18 μB/atom
DOS(E_F) = 0.828 states/eV/atom

---

(8)
Crystalline Rb2NiI5 at its relaxed geometry, computed with GGA-PBE.

Unit cell a=7.7586 b=7.7586 c=7.7586 alpha=114.73 beta=114.73 gamma=99.39
Last column: nearest neighbours and their distance in Å.
Fractional coordinates of all 8 atoms:
Rb 0.0000 0.5000 0.5000  10 I 3.88-4.21
Rb 0.5000 0.0000 0.5000  10 I 3.88-4.21
Ni 0.2844 0.2844 0.0000  5 I 2.60-2.65
I 0.0293 0.0293 0.5644  1 Ni 2.60
I 0.0293 0.4649 0.0000  1 Ni 2.60
I 0.4649 0.0293 0.0000  1 Ni 2.60
I 0.4649 0.4649 0.4356  1 Ni 2.60
I 0.5480 0.5480 0.0000  1 Ni 2.65

Calculated values
SG = I4mm, No. 107
electronic total energy = -21.60 eV/cell
total magnetic moment = 0.12 μB/atom
DOS(E_F) = 0.185 states/eV/atom

---

no.,calculated density (Mg/m³)
1,5.077
2,4.509
3,4.280
4,4.361
5,2.980
6,4.302
7,4.408
8,4.084